(1)
Compound: InFe3Pt
Source: Alexandria
Functional: meta-GGA SCAN
Structure: PBEsol geometry

abc: 4.572 4.572 4.572
angles: 90.00 90.00 90.00
Fractional positions:
In 0.000 0.000 0.000
Fe 0.000 0.000 0.500
Fe 0.000 0.500 0.000
Fe 0.500 0.000 0.000
Pt 0.500 0.500 0.500

Computed properties:
SG = No. 221
Total magnetization = 9.47 μB/cell
Formation enthalpy at 0 K = 1.691 eV/atom

---

(2)
Compound: Co2CuTc
Source: Alexandria
Functional: meta-GGA SCAN
Structure: PBEsol geometry

abc: 2.523 3.633 4.985
angles: 90.00 90.00 90.00
Fractional positions:
Co 0.000 0.000 0.000
Co 0.500 0.500 0.255
Cu 0.000 0.000 0.489
Tc 0.500 0.500 0.768

Computed properties:
SG = No. 25
Offset from the most stable computed form = 0.000 eV/atom
Total magnetization = 3.26 μB/cell
Formation enthalpy at 0 K = 0.238 eV/atom

---

(3)
Compound: SrCoAu3
Source: Alexandria
Functional: meta-GGA SCAN
Structure: PBEsol geometry

abc: 4.800 4.800 4.800
angles: 90.00 90.00 90.00
Fractional positions:
Sr 0.000 0.000 0.000
Co 0.500 0.500 0.500
Au 0.000 0.500 0.500
Au 0.500 0.000 0.500
Au 0.500 0.500 0.000

Computed properties:
SG = No. 221
Total magnetization = 2.00 μB/cell
Formation enthalpy at 0 K = -0.222 eV/atom

---

Number 3 is which compound? SrCoAu3

---

Copy entry 3 word for word.
Compound: SrCoAu3
Source: Alexandria
Functional: meta-GGA SCAN
Structure: PBEsol geometry

abc: 4.800 4.800 4.800
angles: 90.00 90.00 90.00
Fractional positions:
Sr 0.000 0.000 0.000
Co 0.500 0.500 0.500
Au 0.000 0.500 0.500
Au 0.500 0.000 0.500
Au 0.500 0.500 0.000

Computed properties:
SG = No. 221
Total magnetization = 2.00 μB/cell
Formation enthalpy at 0 K = -0.222 eV/atom